An optimized crystal structure of MnOsO2F. Source: the Alexandria database, functional GGA+U.

DFT total energy	-5.739	eV/atom
magnetic moment	0.712	μB/atom
space group	No. 123

a b c (Å): 3.8317 3.8317 3.8550
angles (deg): 90.00 90.00 90.00
Element x y z (fractional)
Mn (0.0000, 0.0000, 0.0000)
Os (0.5000, 0.5000, 0.5000)
O (0.0000, 0.5000, 0.0000)
O (0.5000, 0.0000, 0.0000)
F (0.0000, 0.0000, 0.5000)